TlCdTe2I: PBEsol geometry, SCAN.

Cell lengths 5.510, 5.510, 5.944 Å; angles 90.00, 90.00, 90.00 degrees
Atoms (fractional coordinates):
Cd  0.000  0.000  0.000
I  0.000  0.000  0.500
Te  0.000  0.500  0.000
Te  0.500  0.000  0.000
Tl  0.500  0.500  0.500

Properties
Density = 6.4 g/cm3
Formation energy (no corrections) = 0.023 eV/atom
Total moment = 0.00 μB per formula unit